No. 1
Here is a relaxed Ba2MoPb crystal from Alexandria. Energies are from PBE.

D(E_F) (states/eV per cell): 4.56
Formation energy from the elements (meV per atom): 419.6
Raw total energy (eV per atom): -4.177
Space group: No. 38
Size of the total moment (μB/atom): 0.697

abc: 4.8106 5.1736 6.8713
angles: 67.90 90.00 90.00
Last column: nearest neighbours and their distance in Å.
Positions (direct):
Pb (0.5000, 0.5654, 0.7442)  2 Mo 2.83
Ba (0.5000, 0.2693, 0.3363)  3 Pb 3.67-3.77, 4 Mo 3.70
Ba (0.0000, 0.9832, 0.9087)  3 Mo 3.62-3.83, 4 Pb 3.68
Mo (0.0000, 0.6821, 0.5108)  2 Pb 2.83

=====

No. 2
Here is a relaxed BaMoPb4 crystal from Alexandria. Energies are from PBE.

D(E_F) (states/eV per cell): 6.29
Formation energy from the elements (meV per atom): 484.6
Raw total energy (eV per atom): -4.113
Space group: No. 216
Size of the total moment (μB/atom): 0.611

abc: 6.5427 6.5427 6.5427
angles: 60.00 60.00 60.00
Last column: nearest neighbours and their distance in Å.
Positions (direct):
Pb (0.3745, 0.3745, 0.8765)  6 Pb 3.26-3.28
Pb (0.3745, 0.8765, 0.3745)  6 Pb 3.26-3.28
Pb (0.8765, 0.3745, 0.3745)  6 Pb 3.26-3.28
Ba (0.7500, 0.7500, 0.7500)  12 Pb 3.84, 4 Mo 4.01
Pb (0.3745, 0.3745, 0.3745)  6 Pb 3.26-3.28
Mo (0.0000, 0.0000, 0.0000)  12 Pb 3.83, 4 Ba 4.01

=====

No. 3
Here is a relaxed Ba2MoPb crystal from Alexandria. Energies are from PBE.

D(E_F) (states/eV per cell): 1.91
Formation energy from the elements (meV per atom): 562.3
Raw total energy (eV per atom): -4.034
Space group: No. 123
Size of the total moment (μB/atom): 0.972

abc: 5.3996 5.3996 4.9525
angles: 90.00 90.00 89.98
Last column: nearest neighbours and their distance in Å.
Positions (direct):
Ba (0.5000, 0.5000, 0.0000)  4 Mo 3.66, 4 Pb 3.66, 4 Ba 3.82
Pb (0.0000, 0.5000, 0.5000)  8 Ba 3.66, 4 Mo 3.82
Mo (0.5000, 0.0000, 0.5000)  8 Ba 3.66, 4 Pb 3.82
Ba (0.0000, 0.0000, 0.0000)  4 Pb 3.66, 4 Mo 3.66, 4 Ba 3.82

=====

No. 4
Here is a relaxed BaMo4Pb crystal from Alexandria. Energies are from PBE.

D(E_F) (states/eV per cell): 8.33
Formation energy from the elements (meV per atom): 840.7
Raw total energy (eV per atom): -7.319
Space group: No. 216
Size of the total moment (μB/atom): 0.000

abc: 5.6120 5.6120 5.6120
angles: 60.00 60.00 60.00
Last column: nearest neighbours and their distance in Å.
Positions (direct):
Mo (0.8750, 0.3750, 0.3750)  6 Mo 2.81
Mo (0.3750, 0.3750, 0.8750)  6 Mo 2.81
Mo (0.3750, 0.3750, 0.3750)  6 Mo 2.81
Ba (0.0000, 0.0000, 0.0000)  12 Mo 3.29, 4 Pb 3.44
Mo (0.3750, 0.8750, 0.3750)  6 Mo 2.81
Pb (0.7500, 0.7500, 0.7500)  12 Mo 3.29, 4 Ba 3.44

=====

No. 5
Here is a relaxed Ba2MoPb crystal from Alexandria. Energies are from PBE.

D(E_F) (states/eV per cell): 3.87
Formation energy from the elements (meV per atom): 461.4
Raw total energy (eV per atom): -4.135
Space group: No. 44
Size of the total moment (μB/atom): 0.680

abc: 6.8243 6.8243 5.6983
angles: 65.27 65.27 37.75
Last column: nearest neighbours and their distance in Å.
Positions (direct):
Ba (0.7702, 0.7702, 0.7301)  4 Pb 3.69, 4 Ba 3.71-4.07, 4 Mo 3.80-3.94
Pb (0.2023, 0.2023, 0.2980)  2 Mo 2.81
Mo (0.5524, 0.5524, 0.4472)  2 Pb 2.81
Ba (0.9751, 0.9751, 0.0247)  4 Ba 3.71-4.07, 4 Mo 3.71, 4 Pb 3.85-3.88

=====

No. 6
Here is a relaxed BaV2MoPb crystal from Alexandria. Energies are from PBE.

D(E_F) (states/eV per cell): 14.67
Formation energy from the elements (meV per atom): 2352.8
Raw total energy (eV per atom): -4.587
Space group: No. 123
Size of the total moment (μB/atom): 0.147

abc: 5.0446 6.0990 5.0446
angles: 90.00 90.00 90.00
Last column: nearest neighbours and their distance in Å.
Positions (direct):
Ba (0.0000, 0.5000, 0.0000)  2 Pb 3.05
Mo (0.5000, 0.5000, 0.5000)  4 Ba 3.57, 8 V 3.96
V (0.0000, 0.0000, 0.5000)  2 Pb 2.52
Pb (0.0000, 0.0000, 0.0000)  4 V 2.52
V (0.5000, 0.0000, 0.0000)  2 Pb 2.52

=====

No. 7
Here is a relaxed BaMoPb2W crystal from Alexandria. Energies are from PBE.

D(E_F) (states/eV per cell): 3.75
Formation energy from the elements (meV per atom): 1435.4
Raw total energy (eV per atom): -5.189
Space group: No. 123
Size of the total moment (μB/atom): 1.193

abc: 5.4544 5.8353 5.4544
angles: 90.00 90.00 90.00
Last column: nearest neighbours and their distance in Å.
Positions (direct):
Pb (0.5000, 0.0000, 0.0000)  2 W 2.73
Pb (0.0000, 0.0000, 0.5000)  2 W 2.73
Mo (0.5000, 0.5000, 0.5000)  4 Ba 3.86, 8 Pb 3.99
W (0.0000, 0.0000, 0.0000)  4 Pb 2.73, 2 Ba 2.92
Ba (0.0000, 0.5000, 0.0000)  2 W 2.92

=====

No. 8
Here is a relaxed Ba2MoPd crystal from Alexandria. Energies are from PBE.

D(E_F) (states/eV per cell): 4.54
Formation energy from the elements (meV per atom): 685.7
Energy above the most stable polymorph in this dataset (kJ/mol of formula units): 0
Raw total energy (eV per atom): -4.282
Space group: No. 225
Size of the total moment (μB/atom): 1.020

abc: 5.6601 5.6601 5.6601
angles: 60.00 60.00 60.00
Last column: nearest neighbours and their distance in Å.
Positions (direct):
Mo (0.0000, 0.0000, 0.0000)  8 Ba 3.47
Ba (0.7500, 0.7500, 0.7500)  4 Mo 3.47, 4 Pd 3.47
Ba (0.2500, 0.2500, 0.2500)  4 Pd 3.47, 4 Mo 3.47
Pd (0.5000, 0.5000, 0.5000)  8 Ba 3.47

=====

No. 9
Here is a relaxed BaMoPd crystal from Alexandria. Energies are from PBE.

D(E_F) (states/eV per cell): 6.07
Formation energy from the elements (meV per atom): 208.5
Energy above the most stable polymorph in this dataset (kJ/mol of formula units): 1
Raw total energy (eV per atom): -5.774
Space group: No. 12
Size of the total moment (μB/atom): 0.000

abc: 8.3537 3.5967 6.4129
angles: 73.73 60.27 90.04
Last column: nearest neighbours and their distance in Å.
Positions (direct):
Mo (0.9015, 0.1237, 0.9602)  2 Mo 2.41
Mo (0.7639, 0.6792, 0.8498)  2 Mo 2.41
Pd (0.4981, 0.0246, 0.1588)  3 Mo 2.72-2.93, 1 Pd 2.86
Ba (0.1217, 0.4763, 0.2537)  5 Pd 3.21-3.53, 2 Ba 3.60
Ba (0.5437, 0.3268, 0.5562)  5 Pd 3.21-3.53, 2 Ba 3.60
Pd (0.1673, 0.7786, 0.6510)  3 Mo 2.72-2.93, 1 Pd 2.86

=====

No. 10
Here is a relaxed BaMoPd crystal from Alexandria. Energies are from PBE.

D(E_F) (states/eV per cell): 2.04
Formation energy from the elements (meV per atom): 295.8
Energy above the most stable polymorph in this dataset (kJ/mol of formula units): 27
Raw total energy (eV per atom): -5.686
Space group: No. 8
Size of the total moment (μB/atom): 0.000

abc: 5.6484 6.5555 5.2290
angles: 90.00 62.39 77.72
Last column: nearest neighbours and their distance in Å.
Positions (direct):
Ba (0.4758, 0.4648, 0.0284)  4 Pd 3.10-3.40, 1 Mo 3.45
Ba (0.9065, 0.1045, 0.3129)  5 Pd 3.23-3.58, 5 Mo 3.51-3.57
Pd (0.1737, 0.2945, 0.6793)  2 Mo 2.73-2.74
Mo (0.3375, 0.8666, 0.5974)  1 Mo 2.12
Pd (0.8416, 0.6257, 0.3457)  3 Mo 2.64-2.85
Mo (0.9995, 0.7234, 0.7667)  1 Mo 2.12

=====

No. 11
Here is a relaxed BaMoPd crystal from Alexandria. Energies are from PBE.

D(E_F) (states/eV per cell): 14.81
Formation energy from the elements (meV per atom): 565.5
Energy above the most stable polymorph in this dataset (kJ/mol of formula units): 105
Raw total energy (eV per atom): -5.417
Space group: No. 62
Size of the total moment (μB/atom): 0.000

abc: 5.6231 4.6558 11.2330
angles: 90.00 90.00 90.00
Last column: nearest neighbours and their distance in Å.
Positions (direct):
Mo (0.4352, 0.7500, 0.3174)  3 Pd 2.74-2.77
Ba (0.0725, 0.7500, 0.6282)  2 Pd 2.91-2.95, 2 Mo 3.15
Pd (0.9312, 0.2500, 0.0547)  3 Mo 2.74-2.77, 2 Pd 2.74, 2 Ba 2.91-2.95
Ba (0.5725, 0.7500, 0.8718)  2 Pd 2.91-2.95, 2 Mo 3.15
Ba (0.4275, 0.2500, 0.1282)  2 Pd 2.91-2.95, 2 Mo 3.15
Pd (0.4312, 0.2500, 0.4453)  3 Mo 2.74-2.77, 2 Pd 2.74, 2 Ba 2.91-2.95
Ba (0.9275, 0.2500, 0.3718)  2 Pd 2.91-2.95, 2 Mo 3.15
Pd (0.0688, 0.7500, 0.9453)  3 Mo 2.74-2.77, 2 Pd 2.74, 2 Ba 2.91-2.95
Mo (0.9352, 0.7500, 0.1826)  3 Pd 2.74-2.77
Pd (0.5688, 0.7500, 0.5547)  3 Mo 2.74-2.77, 2 Pd 2.74, 2 Ba 2.91-2.95
Mo (0.0648, 0.2500, 0.8174)  3 Pd 2.74-2.77
Mo (0.5648, 0.2500, 0.6826)  3 Pd 2.74-2.77

=====

No. 12
Here is a relaxed BaMoPd crystal from Alexandria. Energies are from PBE.

D(E_F) (states/eV per cell): 1.26
Formation energy from the elements (meV per atom): 928.6
Energy above the most stable polymorph in this dataset (kJ/mol of formula units): 210
Raw total energy (eV per atom): -5.054
Space group: No. 216
Size of the total moment (μB/atom): 1.338

abc: 5.0181 5.0181 5.0181
angles: 60.00 60.00 60.00
Last column: nearest neighbours and their distance in Å.
Positions (direct):
Ba (0.7500, 0.7500, 0.7500)  4 Pd 3.07
Pd (0.5000, 0.5000, 0.5000)  4 Ba 3.07, 4 Mo 3.07
Mo (0.2500, 0.2500, 0.2500)  4 Pd 3.07

=====

Question: Which of these has the highest size of the total moment?
Answer: number 12

=====

Question: Which value of D(E_F) does entry 2 give?
Answer: 6.29 states/eV per cell